Arrangement i

VASP calculation (GGA-PBE) on a relaxed HfTaH3 crystal.

Its crystal system is cubic.

The structure belongs to space group Pm-3m (No. 221); the cell edges are 3.640, 3.640 and 3.640 Å and the angles 90.00°, 90.00° and 90.00°. The inequivalent atoms are Hf at (0.000, 0.000, 0.000), Ta at (0.500, 0.500, 0.500) and H at (0.000, 0.000, 0.500).

***

Arrangement ii

VASP calculation (GGA-PBE) on a relaxed HfTaH3 crystal.

Its crystal system is cubic.

The structure belongs to space group Pm-3m (No. 221); the cell edges are 3.623, 3.623 and 3.623 Å and the angles 90.00°, 90.00° and 90.00°. The inequivalent atoms are Hf at (0.000, 0.000, 0.000), Ta at (0.500, 0.500, 0.500) and H at (0.000, 0.500, 0.500).

***

Here are the energies relative to the best structure, in meV per atom: arrangement i 249; arrangement ii 0.

***

Arrangement i

VASP calculation (GGA-PBE) on a relaxed HfTaH3 crystal.

Its crystal system is monoclinic.

The structure belongs to space group C2/c (No. 15); the cell edges are 7.757, 9.741 and 5.038 Å and the angles 90.00°, 90.84° and 90.00°. The inequivalent atoms are Hf at (0.000, 0.113, 0.250), Hf at (0.000, 0.369, 0.750), Ta at (0.214, 0.371, 0.264), H at (0.072, 0.074, 0.611), H at (0.128, 0.236, 0.992) and H at (0.220, 0.445, 0.902).

***

Arrangement ii

VASP calculation (GGA-PBE) on a relaxed HfTaH3 crystal.

Its crystal system is orthorhombic.

The structure belongs to space group Pbcm (No. 57); the cell edges are 2.995, 12.498 and 5.004 Å and the angles 90.00°, 90.00° and 90.00°. The inequivalent atoms are Hf at (0.249, 0.076, 0.250), Ta at (0.257, 0.691, 0.750), H at (0.245, 0.250, 0.000) and H at (0.251, 0.561, 0.526).

***

Here are the energies relative to the best structure, in meV per atom: arrangement i 18; arrangement ii 0.

***

Arrangement i

VASP calculation (GGA-PBE) on a relaxed HfTa2H2 crystal.

Its crystal system is monoclinic.

The structure belongs to space group C2/c (No. 15); the cell edges are 7.968, 8.012 and 5.602 Å and the angles 90.00°, 134.33° and 90.00°. The inequivalent atoms are Hf at (0.000, 0.114, 0.250), Ta at (0.000, 0.500, 0.000), Ta at (0.250, 0.250, 0.000) and H at (0.193, 0.307, 0.607).

***

Arrangement ii

VASP calculation (GGA-PBE) on a relaxed HfTa2H2 crystal.

Its crystal system is tetragonal.

The structure belongs to space group P4/mbm (No. 127); the cell edges are 7.242, 7.242 and 2.781 Å and the angles 90.00°, 90.00° and 90.00°. The inequivalent atoms are Hf at (0.000, 0.000, 0.000), Ta at (0.129, 0.371, 0.000) and H at (0.098, 0.598, 0.500).

***

Arrangement iii

VASP calculation (GGA-PBE) on a relaxed HfTa2H2 crystal.

Its crystal system is tetragonal.

The structure belongs to space group I4/mmm (No. 139); the cell edges are 3.483, 3.483 and 10.446 Å and the angles 90.00°, 90.00° and 90.00°. The inequivalent atoms are Hf at (0.000, 0.000, 0.000), Ta at (0.000, 0.000, 0.337) and H at (0.000, 0.500, 0.250).

***

Here are the energies relative to the best structure, in meV per atom: arrangement i 0; arrangement ii 1082; arrangement iii 193.

***

Arrangement i

VASP calculation (GGA-PBE) on a relaxed Hf2TaH4 crystal.

Its crystal system is tetragonal.

The structure belongs to space group I4/mmm (No. 139); the cell edges are 3.555, 3.555 and 11.277 Å and the angles 90.00°, 90.00° and 90.00°. The inequivalent atoms are Hf at (0.000, 0.000, 0.160), Ta at (0.000, 0.000, 0.500), H at (0.000, 0.000, 0.334) and H at (0.000, 0.500, 0.000).

***

Arrangement ii

VASP calculation (GGA-PBE) on a relaxed Hf2TaH4 crystal.

Its crystal system is monoclinic.

The structure belongs to space group C2/m (No. 12); the cell edges are 10.424, 3.091 and 4.878 Å and the angles 90.00°, 116.61° and 90.00°. The inequivalent atoms are Hf at (0.157, 0.000, 0.185), Ta at (0.000, 0.500, 0.500), H at (0.141, 0.000, 0.589) and H at (0.165, 0.500, 0.908).

***

Here are the energies relative to the best structure, in meV per atom: arrangement i 168; arrangement ii 0.

***

Arrangement i

VASP calculation (GGA-PBE) on a relaxed Hf3TaH crystal.

Its crystal system is cubic.

The structure belongs to space group Pm-3m (No. 221); the cell edges are 4.428, 4.428 and 4.428 Å and the angles 90.00°, 90.00° and 90.00°. The inequivalent atoms are Hf at (0.000, 0.000, 0.500), Ta at (0.500, 0.500, 0.500) and H at (0.000, 0.000, 0.000).

***

Arrangement ii

VASP calculation (GGA-PBE) on a relaxed Hf3TaH crystal.

Its crystal system is cubic.

The structure belongs to space group Pm-3m (No. 221); the cell edges are 5.133, 5.133 and 5.133 Å and the angles 90.00°, 90.00° and 90.00°. The inequivalent atoms are Hf at (0.000, 0.000, 0.500), Ta at (0.000, 0.000, 0.000) and H at (0.500, 0.500, 0.500).

***

Here are the energies relative to the best structure, in meV per atom: arrangement i 0; arrangement ii 1679.

***

Arrangement i

VASP calculation (GGA-PBE) on a relaxed HfTa2TiH crystal.

Its crystal system is tetragonal.

The structure belongs to space group P4/mmm (No. 123); the cell edges are 4.083, 4.083 and 4.710 Å and the angles 90.00°, 90.00° and 90.00°. The inequivalent atoms are Hf at (0.000, 0.000, 0.000), Ta at (0.000, 0.500, 0.500), Ti at (0.500, 0.500, 0.000) and H at (0.000, 0.000, 0.500).

***

Arrangement ii

VASP calculation (GGA-PBE) on a relaxed HfTa2TiH crystal.

Its crystal system is tetragonal.

The structure belongs to space group P4/mmm (No. 123); the cell edges are 4.112, 4.112 and 4.629 Å and the angles 90.00°, 90.00° and 90.00°. The inequivalent atoms are Hf at (0.000, 0.000, 0.000), Ta at (0.000, 0.500, 0.500), Ti at (0.500, 0.500, 0.000) and H at (0.500, 0.500, 0.500).

***

Here are the energies relative to the best structure, in meV per atom: arrangement i 12; arrangement ii 0.

***

Arrangement i

VASP calculation (GGA-PBE) on a relaxed HfTaTi2H crystal.

Its crystal system is tetragonal.

The structure belongs to space group P4/mmm (No. 123); the cell edges are 4.139, 4.139 and 4.455 Å and the angles 90.00°, 90.00° and 90.00°. The inequivalent atoms are Hf at (0.000, 0.000, 0.000), Ta at (0.500, 0.500, 0.000), Ti at (0.000, 0.500, 0.500) and H at (0.500, 0.500, 0.500).

***

Arrangement ii

VASP calculation (GGA-PBE) on a relaxed HfTaTi2H crystal.

Its crystal system is tetragonal.

The structure belongs to space group P4/mmm (No. 123); the cell edges are 4.090, 4.090 and 4.566 Å and the angles 90.00°, 90.00° and 90.00°. The inequivalent atoms are Hf at (0.000, 0.000, 0.000), Ta at (0.500, 0.500, 0.000), Ti at (0.000, 0.500, 0.500) and H at (0.000, 0.000, 0.500).

***

Here are the energies relative to the best structure, in meV per atom: arrangement i 12; arrangement ii 0.

***

Arrangement i

VASP calculation (GGA-PBE) on a relaxed Hf2TaZnH crystal.

Its crystal system is tetragonal.

The structure belongs to space group P4/mmm (No. 123); the cell edges are 4.373, 4.373 and 4.086 Å and the angles 90.00°, 90.00° and 90.00°. The inequivalent atoms are Hf at (0.000, 0.500, 0.000), Ta at (0.000, 0.000, 0.500), Zn at (0.500, 0.500, 0.500) and H at (0.000, 0.000, 0.000).

***

Arrangement ii

VASP calculation (GGA-PBE) on a relaxed Hf2TaZnH crystal.

Its crystal system is tetragonal.

The structure belongs to space group P4/mmm (No. 123); the cell edges are 4.318, 4.318 and 4.187 Å and the angles 90.00°, 90.00° and 90.00°. The inequivalent atoms are Hf at (0.000, 0.500, 0.000), Ta at (0.000, 0.000, 0.500), Zn at (0.500, 0.500, 0.500) and H at (0.500, 0.500, 0.000).

***

Here are the energies relative to the best structure, in meV per atom: arrangement i 0; arrangement ii 86.

***

Arrangement i

VASP calculation (GGA-PBE) on a relaxed HfZr2TaH crystal.

Its crystal system is tetragonal.

The structure belongs to space group P4/mmm (No. 123); the cell edges are 4.703, 4.703 and 3.984 Å and the angles 90.00°, 90.00° and 90.00°. The inequivalent atoms are Hf at (0.000, 0.000, 0.000), Zr at (0.000, 0.500, 0.500), Ta at (0.500, 0.500, 0.000) and H at (0.500, 0.500, 0.500).

***

Arrangement ii

VASP calculation (GGA-PBE) on a relaxed HfZr2TaH crystal.

Its crystal system is tetragonal.

The structure belongs to space group P4/mmm (No. 123); the cell edges are 4.542, 4.542 and 4.286 Å and the angles 90.00°, 90.00° and 90.00°. The inequivalent atoms are Hf at (0.000, 0.000, 0.000), Zr at (0.000, 0.500, 0.500), Ta at (0.500, 0.500, 0.000) and H at (0.000, 0.000, 0.500).

***

Here are the energies relative to the best structure, in meV per atom: arrangement i 0; arrangement ii 20.

***

Arrangement i

VASP calculation (GGA-PBE) on a relaxed Tb2HfH crystal.

Its crystal system is trigonal.

The structure belongs to space group R-3m (No. 166, hexagonal axes); the cell edges are 3.3120, 3.3120 and 27.4250 Å and the angles 90.00°, 90.00° and 120.00°. The inequivalent atoms are Tb at (0.0000, 0.0000, 0.1154), Hf at (0.0000, 0.0000, 0.0000) and H at (0.0000, 0.0000, 0.5000).

***

Arrangement ii

VASP calculation (GGA-PBE) on a relaxed Tb2HfH crystal.

Its crystal system is tetragonal.

The structure belongs to space group P4/mmm (No. 123); the cell edges are 3.251, 3.251 and 8.054 Å and the angles 90.00°, 90.00° and 90.00°. The inequivalent atoms are Tb at (0.000, 0.000, 0.209), Hf at (0.500, 0.500, 0.500) and H at (0.500, 0.500, 0.000).

***

Here are the energies relative to the best structure, in meV per atom: arrangement i 57; arrangement ii 0.

***

Arrangement i

VASP calculation (GGA-PBE) on a relaxed HfTc3H crystal.

Its crystal system is cubic.

The structure belongs to space group Pm-3m (No. 221); the cell edges are 4.835, 4.835 and 4.835 Å and the angles 90.00°, 90.00° and 90.00°. The inequivalent atoms are Hf at (0.000, 0.000, 0.000), Tc at (0.000, 0.000, 0.500) and H at (0.500, 0.500, 0.500).

***

Arrangement ii

VASP calculation (GGA-PBE) on a relaxed HfTc3H crystal.

Its crystal system is cubic.

The structure belongs to space group Pm-3m (No. 221); the cell edges are 4.045, 4.045 and 4.045 Å and the angles 90.00°, 90.00° and 90.00°. The inequivalent atoms are Hf at (0.000, 0.000, 0.000), Tc at (0.000, 0.500, 0.500) and H at (0.500, 0.500, 0.500).

***

Here are the energies relative to the best structure, in meV per atom: arrangement i 2605; arrangement ii 0.